[1]
LiPaInTc: optimized geometry, PBE.

The structure belongs to space group F-43m (No. 216); the cell edges are 6.737, 6.737 and 6.737 Å and the angles 90.00°, 90.00° and 90.00°. The inequivalent atoms are Li at (0.000, 0.000, 0.000), Pa at (0.250, 0.250, 0.750), In at (0.250, 0.250, 0.250) and Tc at (0.000, 0.000, 0.500).

The calculation puts the total energy at -6.12 eV/atom. For the formation enthalpy at 0 K, the calculation gives 4 meV/atom.

[2]
SrTa2Tc: optimized geometry, PBE.

The structure belongs to space group Cmmm (No. 65); the cell edges are 5.677, 10.124 and 2.788 Å and the angles 90.00°, 90.00° and 90.00°. The inequivalent atoms are Sr at (0.000, 0.000, 0.000), Ta at (0.250, 0.250, 0.500) and Tc at (0.000, 0.500, 0.000).

The calculation puts the total energy at -7.94 eV/atom. As for the relative energy among the computed polymorphs: 555 meV/atom. For the formation enthalpy at 0 K, the calculation gives 1000 meV/atom.

[3]
RbPt3N: optimized geometry, PBE.

The structure belongs to space group Pm-3m (No. 221); the cell edges are 5.296, 5.296 and 5.296 Å and the angles 90.00°, 90.00° and 90.00°. The inequivalent atoms are Rb at (0.000, 0.000, 0.000), Pt at (0.000, 0.000, 0.500) and N at (0.500, 0.500, 0.500).

The calculation puts the total energy at -2.23 eV/atom. The calculation puts the formation energy without anion corrections at 3251 meV/atom. As for the relative energy among the computed polymorphs: 2494 meV/atom.

[4]
Na2TmPuO4: optimized geometry, PBE.

The structure belongs to space group P2/m (No. 10); the cell edges are 5.937, 3.445 and 5.975 Å and the angles 90.00°, 109.70° and 90.00°. The inequivalent atoms are Na at (0.000, 0.000, 0.000), Na at (0.000, 0.500, 0.500), Tm at (0.500, 0.000, 0.500), Pu at (0.500, 0.500, 0.000), O at (0.287, 0.000, 0.754) and O at (0.289, 0.500, 0.272).

The calculation puts the total energy at -7.76 eV/atom. The calculation puts the formation energy without anion corrections at -2602 meV/atom.

[5]
Y2Zn7Ni: optimized geometry, PBE.

The structure belongs to space group P-4m2 (No. 115); the cell edges are 4.037, 4.037 and 10.921 Å and the angles 90.00°, 90.00° and 90.00°. The inequivalent atoms are Y at (0.000, 0.500, 0.241), Zn at (0.000, 0.000, 0.000), Zn at (0.000, 0.000, 0.500), Zn at (0.000, 0.500, 0.644), Zn at (0.000, 0.500, 0.869), Zn at (0.500, 0.500, 0.500) and Ni at (0.500, 0.500, 0.000).

The calculation puts the total energy at -3.06 eV/atom. For the formation enthalpy at 0 K, the calculation gives -297 meV/atom.

[6]
RhPbO2F: optimized geometry, PBE.

The structure belongs to space group P4/mmm (No. 123); the cell edges are 4.039, 4.039 and 4.269 Å and the angles 90.00°, 90.00° and 90.00°. The inequivalent atoms are Rh at (0.000, 0.000, 0.000), Pb at (0.500, 0.500, 0.500), O at (0.000, 0.500, 0.000) and F at (0.000, 0.000, 0.500).

The calculation puts the total energy at -5.46 eV/atom. The calculation puts the formation energy without anion corrections at -894 meV/atom.

[7]
Sr2HgGe2: optimized geometry, PBE.

The structure belongs to space group I4/mmm (No. 139); the cell edges are 3.917, 3.917 and 19.165 Å and the angles 90.00°, 90.00° and 90.00°. The inequivalent atoms are Sr at (0.000, 0.000, 0.109), Hg at (0.000, 0.000, 0.500) and Ge at (0.000, 0.500, 0.250).

The calculation puts the total energy at -2.87 eV/atom. For the formation enthalpy at 0 K, the calculation gives -287 meV/atom.

[8]
Li8Sb2H: optimized geometry, PBE.

The structure belongs to space group C2/m (No. 12); the cell edges are 16.187, 4.662 and 4.729 Å and the angles 90.00°, 92.14° and 90.00°. The inequivalent atoms are Li at (0.046, 0.000, 0.243), Li at (0.062, 0.500, 0.720), Li at (0.149, 0.500, 0.217), Li at (0.250, 0.000, 0.261), Sb at (0.150, 0.000, 0.743) and H at (0.000, 0.500, 0.000).

The calculation puts the total energy at -2.89 eV/atom.

[9]
PmPa2Re: optimized geometry, PBE.

The structure belongs to space group R-3m (No. 166, hexagonal axes); the cell edges are 4.7443, 4.7443 and 14.7132 Å and the angles 90.00°, 90.00° and 120.00°. The inequivalent atoms are Pm at (0.0000, 0.0000, 0.0000), Pa at (0.0000, 0.0000, 0.2406) and Re at (0.0000, 0.0000, 0.5000).

The calculation puts the total energy at -8.70 eV/atom. As for the relative energy among the computed polymorphs: 206 meV/atom. For the formation enthalpy at 0 K, the calculation gives 349 meV/atom.

[10]
Ba3Na2Hg3: optimized geometry, PBE.

The structure belongs to space group Immm (No. 71); the cell edges are 4.160, 5.941 and 24.140 Å and the angles 90.00°, 90.00° and 90.00°. The inequivalent atoms are Ba at (0.000, 0.000, 0.000), Ba at (0.000, 0.500, 0.121), Na at (0.000, 0.000, 0.229), Hg at (0.000, 0.000, 0.500) and Hg at (0.000, 0.500, 0.376).

The calculation puts the total energy at -1.53 eV/atom. For the formation enthalpy at 0 K, the calculation gives -362 meV/atom.

[11]
Ho4Tc6O19: optimized geometry, PBE.

The structure belongs to space group I23 (No. 197); the cell edges are 8.951, 8.951 and 8.951 Å and the angles 90.00°, 90.00° and 90.00°. The inequivalent atoms are Ho at (0.147, 0.147, 0.853), Tc at (0.000, 0.365, 0.500), O at (0.000, 0.000, 0.000), O at (0.000, 0.000, 0.316) and O at (0.028, 0.338, 0.718).

The calculation puts the total energy at -8.14 eV/atom. The calculation puts the formation energy without anion corrections at -2116 meV/atom.

[12]
KGa3Tc: optimized geometry, PBE.

The structure belongs to space group P2_1/m (No. 11); the cell edges are 4.713, 6.260 and 8.327 Å and the angles 90.00°, 91.98° and 90.00°. The inequivalent atoms are K at (0.131, 0.250, 0.159), Ga at (0.317, 0.041, 0.604), Ga at (0.398, 0.750, 0.153) and Tc at (0.161, 0.750, 0.417).

The calculation puts the total energy at -4.02 eV/atom. As for the relative energy among the computed polymorphs: 265 meV/atom. For the formation enthalpy at 0 K, the calculation gives 89 meV/atom.

[13]
BaCaSc2: optimized geometry, PBE.

The structure belongs to space group C2/m (No. 12); the cell edges are 7.074, 11.827 and 3.471 Å and the angles 90.00°, 110.04° and 90.00°. The inequivalent atoms are Ba at (0.000, 0.000, 0.000), Ca at (0.000, 0.500, 0.000) and Sc at (0.250, 0.250, 0.500).

The calculation puts the total energy at -3.75 eV/atom. As for the relative energy among the computed polymorphs: 198 meV/atom. For the formation enthalpy at 0 K, the calculation gives 394 meV/atom.

[14]
TmScNb: optimized geometry, PBE.

The structure belongs to space group Cmcm (No. 63); the cell edges are 3.083, 18.247 and 4.905 Å and the angles 90.00°, 90.00° and 90.00°. The inequivalent atoms are Tm at (0.000, 0.127, 0.250), Sc at (0.000, 0.453, 0.250) and Nb at (0.000, 0.287, 0.250).

The calculation puts the total energy at -6.71 eV/atom. As for the relative energy among the computed polymorphs: 100 meV/atom. For the formation enthalpy at 0 K, the calculation gives 249 meV/atom.

[15]
KInNCl: optimized geometry, PBE.

The structure belongs to space group R3m (No. 160, hexagonal axes); the cell edges are 3.6536, 3.6536 and 22.5036 Å and the angles 90.00°, 90.00° and 120.00°. The inequivalent atoms are K at (0.0000, 0.0000, 0.0000), In at (0.0000, 0.0000, 0.4587), N at (0.0000, 0.0000, 0.7620) and Cl at (0.0000, 0.0000, 0.5725).

The calculation puts the total energy at -4.06 eV/atom. The calculation puts the formation energy without anion corrections at -554 meV/atom. As for the relative energy among the computed polymorphs: 2 meV/atom.

[16]
SrAg2HgB: optimized geometry, PBE.

The structure belongs to space group P4/mmm (No. 123); the cell edges are 4.660, 4.660 and 4.792 Å and the angles 90.00°, 90.00° and 90.00°. The inequivalent atoms are Sr at (0.000, 0.000, 0.000), Ag at (0.000, 0.500, 0.500), Hg at (0.500, 0.500, 0.000) and B at (0.500, 0.500, 0.500).

The calculation puts the total energy at -2.73 eV/atom. As for the relative energy among the computed polymorphs: 0 meV/atom. For the formation enthalpy at 0 K, the calculation gives 138 meV/atom.

[17]
YSc2Ni: optimized geometry, PBE.

The structure belongs to space group I4/mmm (No. 139); the cell edges are 4.093, 4.093 and 10.415 Å and the angles 90.00°, 90.00° and 90.00°. The inequivalent atoms are Y at (0.000, 0.000, 0.000), Sc at (0.000, 0.500, 0.250) and Ni at (0.000, 0.000, 0.500).

The calculation puts the total energy at -6.17 eV/atom. As for the relative energy among the computed polymorphs: 311 meV/atom. For the formation enthalpy at 0 K, the calculation gives 56 meV/atom.

[18]
Mg2VAu2: optimized geometry, PBE.

The structure belongs to space group P4/mbm (No. 127); the cell edges are 7.437, 7.437 and 3.416 Å and the angles 90.00°, 90.00° and 90.00°. The inequivalent atoms are Mg at (0.160, 0.340, 0.000), V at (0.000, 0.000, 0.500) and Au at (0.140, 0.640, 0.500).

The calculation puts the total energy at -3.94 eV/atom. For the formation enthalpy at 0 K, the calculation gives -167 meV/atom.

[19]
YZnGa2Ru2: optimized geometry, PBE.

The structure belongs to space group P4/mmm (No. 123); the cell edges are 4.590, 4.590 and 5.404 Å and the angles 90.00°, 90.00° and 90.00°. The inequivalent atoms are Y at (0.000, 0.000, 0.000), Zn at (0.000, 0.000, 0.500), Ga at (0.500, 0.500, 0.247) and Ru at (0.000, 0.500, 0.500).

The calculation puts the total energy at -5.45 eV/atom. For the formation enthalpy at 0 K, the calculation gives -55 meV/atom.

[20]
NbPd3Rh: optimized geometry, PBE.

The structure belongs to space group Pm-3m (No. 221); the cell edges are 4.743, 4.743 and 4.743 Å and the angles 90.00°, 90.00° and 90.00°. The inequivalent atoms are Nb at (0.000, 0.000, 0.000), Pd at (0.000, 0.000, 0.500) and Rh at (0.500, 0.500, 0.500).

The calculation puts the total energy at -5.39 eV/atom. As for the relative energy among the computed polymorphs: 1513 meV/atom. For the formation enthalpy at 0 K, the calculation gives 1205 meV/atom.

[21]
AcCe2Sc: optimized geometry, PBE.

The structure belongs to space group P4/mmm (No. 123); the cell edges are 4.903, 4.903 and 5.207 Å and the angles 90.00°, 90.00° and 90.00°. The inequivalent atoms are Ac at (0.000, 0.000, 0.000), Ce at (0.000, 0.500, 0.500) and Sc at (0.500, 0.500, 0.000).

The calculation puts the total energy at -5.41 eV/atom. As for the relative energy among the computed polymorphs: 0 meV/atom. For the formation enthalpy at 0 K, the calculation gives 167 meV/atom.

[22]
La5NdDy2Y: optimized geometry, PBE.

The structure belongs to space group Cmc2_1 (No. 36); the cell edges are 5.529, 21.855 and 10.678 Å and the angles 90.00°, 90.00° and 90.00°. The inequivalent atoms are La at (0.000, 0.000, 0.000), La at (0.000, 0.122, 0.250), La at (0.000, 0.221, 0.941), La at (0.000, 0.222, 0.560), La at (0.000, 0.500, 0.250), Nd at (0.000, 0.286, 0.251), Dy at (0.000, 0.387, 0.001), Dy at (0.000, 0.388, 0.499) and Y at (0.000, 0.100, 0.750).

The calculation puts the total energy at -4.88 eV/atom. For the formation enthalpy at 0 K, the calculation gives 126 meV/atom.

[23]
RhIN2: optimized geometry, PBE.

The structure belongs to space group R-3m (No. 166, hexagonal axes); the cell edges are 3.4425, 3.4425 and 18.9458 Å and the angles 90.00°, 90.00° and 120.00°. The inequivalent atoms are Rh at (0.0000, 0.0000, 0.0000), I at (0.0000, 0.0000, 0.5000) and N at (0.0000, 0.0000, 0.1000).

The calculation puts the total energy at -4.75 eV/atom. The calculation puts the formation energy without anion corrections at 1636 meV/atom. As for the relative energy among the computed polymorphs: 634 meV/atom.

[24]
HfNiSnPd: optimized geometry, PBE.

The structure belongs to space group F-43m (No. 216); the cell edges are 6.463, 6.463 and 6.463 Å and the angles 90.00°, 90.00° and 90.00°. The inequivalent atoms are Hf at (0.000, 0.000, 0.000), Ni at (0.250, 0.250, 0.750), Sn at (0.000, 0.000, 0.500) and Pd at (0.250, 0.250, 0.250).

The calculation puts the total energy at -6.80 eV/atom. For the formation enthalpy at 0 K, the calculation gives -569 meV/atom.

[25]
TiSbAu2: optimized geometry, PBE.

The structure belongs to space group R3m (No. 160, hexagonal axes); the cell edges are 4.3309, 4.3309 and 15.8904 Å and the angles 90.00°, 90.00° and 120.00°. The inequivalent atoms are Ti at (0.0000, 0.0000, 0.0000), Sb at (0.0000, 0.0000, 0.8159), Au at (0.0000, 0.0000, 0.3963) and Au at (0.0000, 0.0000, 0.5922).

The calculation puts the total energy at -4.76 eV/atom. The calculation puts the formation energy without anion corrections at -122 meV/atom.